1.
Density functional theory data (GGA-PBE) for a relaxed structure of Tb4Sc2N.

The space group is I4/mmm (No. 139) and the conventional cell measures 4.760, 4.760 and 16.982 Å, with angles of 90.00, 90.00 and 90.00 degrees. The inequivalent atoms are Tb at (0.000, 0.000, 0.139), Tb at (0.000, 0.500, 0.000), Sc at (0.000, 0.000, 0.340) and N at (0.000, 0.000, 0.000).

The crystal system is tetragonal. For the raw formation energy, the calculation gives -0.204 eV per atom. As for the total magnetization: 0.0 Bohr magnetons per cell.

=====

2.
Density functional theory data (GGA-PBE) for a relaxed structure of Ac2ZnNi3Ge4.

The space group is P-4m2 (No. 115) and the conventional cell measures 4.335, 4.335 and 10.077 Å, with angles of 90.00, 90.00 and 90.00 degrees. The inequivalent atoms are Ac at (0.000, 0.500, 0.248), Zn at (0.000, 0.000, 0.500), Ni at (0.000, 0.500, 0.883), Ni at (0.500, 0.500, 0.500), Ge at (0.000, 0.000, 0.000), Ge at (0.000, 0.500, 0.635) and Ge at (0.500, 0.500, 0.000).

The crystal system is tetragonal. As for the total magnetization: 0.0 Bohr magnetons per cell. The formation energy is -596 meV/atom.

=====

3.
Density functional theory data (GGA-PBE) for a relaxed structure of NdGdZnPt.

The space group is F-43m (No. 216) and the conventional cell measures 7.208, 7.208 and 7.208 Å, with angles of 90.00, 90.00 and 90.00 degrees. The inequivalent atoms are Nd at (0.000, 0.000, 0.000), Gd at (0.000, 0.000, 0.500), Zn at (0.250, 0.250, 0.250) and Pt at (0.250, 0.250, 0.750).

The crystal system is cubic. As for the total magnetization: 28.6 Bohr magnetons per cell. The formation energy is -706 meV/atom.

=====

4.
Density functional theory data (GGA-PBE) for a relaxed structure of KReMoH2.

The space group is P4/mmm (No. 123) and the conventional cell measures 4.178, 4.178 and 4.789 Å, with angles of 90.00, 90.00 and 90.00 degrees. The inequivalent atoms are K at (0.000, 0.000, 0.000), Re at (0.500, 0.500, 0.500), Mo at (0.500, 0.500, 0.000) and H at (0.000, 0.500, 0.500).

As for the final energy: -0.1773 Ha/atom. The crystal system is tetragonal. As for the total magnetization: 1.6 Bohr magnetons per cell.

=====

5.
Density functional theory data (GGA-PBE) for a relaxed structure of Er3SnO6.

The space group is R-3 (No. 148, hexagonal axes) and the conventional cell measures 9.6790, 9.6790 and 11.0216 Å, with angles of 90.00, 90.00 and 120.00 degrees. The inequivalent atoms are Er at (0.0412, 0.2661, 0.2062), Sn at (0.0000, 0.0000, 0.0000), Sn at (0.0000, 0.0000, 0.5000), O at (0.0298, 0.2422, 0.4041) and O at (0.0307, 0.1817, 0.8792).

The crystal system is trigonal. For the raw formation energy, the calculation gives -3.046 eV per atom. As for the total magnetization: 0.0 Bohr magnetons per cell.

=====

6.
Density functional theory data (GGA-PBE) for a relaxed structure of MnTlSeCl2.

The space group is P4/mmm (No. 123) and the conventional cell measures 4.897, 4.897 and 5.137 Å, with angles of 90.00, 90.00 and 90.00 degrees. The inequivalent atoms are Mn at (0.000, 0.000, 0.000), Tl at (0.500, 0.500, 0.500), Se at (0.000, 0.000, 0.500) and Cl at (0.000, 0.500, 0.000).

The crystal system is tetragonal. For the raw formation energy, the calculation gives -0.670 eV per atom. As for the total magnetization: 4.1 Bohr magnetons per cell.

=====

7.
Density functional theory data (GGA-PBE) for a relaxed structure of NaIn2GaCo.

The space group is P4/mmm (No. 123) and the conventional cell measures 4.963, 4.963 and 4.650 Å, with angles of 90.00, 90.00 and 90.00 degrees. The inequivalent atoms are Na at (0.000, 0.000, 0.000), In at (0.000, 0.500, 0.500), Ga at (0.500, 0.500, 0.000) and Co at (0.500, 0.500, 0.500).

The crystal system is tetragonal. As for the total magnetization: 0.0 Bohr magnetons per cell. The formation energy is -80 meV/atom.

=====

8.
Density functional theory data (GGA-PBE) for a relaxed structure of TbSnRu2.

The space group is P4/mmm (No. 123) and the conventional cell measures 3.342, 3.342 and 6.577 Å, with angles of 90.00, 90.00 and 90.00 degrees. The inequivalent atoms are Tb at (0.000, 0.000, 0.000), Sn at (0.000, 0.000, 0.500) and Ru at (0.500, 0.500, 0.272).

The crystal system is tetragonal. As for the total magnetization: 0.0 Bohr magnetons per cell. The formation energy is -264 meV/atom.